A | A plane-wave DFT calculation with PBE was carried out for a geometry-optimized Ba2LaCl structure.

abc: 13.3701 3.9949 7.1545
angles: 90.00 116.59 90.00
Space group Cm (No. 8)
Symmetry-distinct sites (fractional):
Ba1 0.0000 0.0000 0.0000 x2
Ba2 0.1753 0.0000 0.6425 x2
La1 0.3048 0.5000 0.2616 x2
Cl1 0.4298 0.0000 0.6075 x2

***

B | A plane-wave DFT calculation with PBE was carried out for a geometry-optimized Ba2LaCl structure.

abc: 5.6710 4.5247 14.5750
angles: 90.00 90.00 90.00
Space group Amm2 (No. 38)
Symmetry-distinct sites (fractional):
Ba1 0.0000 0.0000 0.0000 x2
Ba2 0.5000 0.0000 0.3212 x2
La1 0.0000 0.0000 0.7219 x2
Cl1 0.5000 0.0000 0.6621 x2

***

Relative energies, in meV/atom, with the most stable structure set to zero: A 0; B 83.

***

A | A plane-wave DFT calculation with PBE was carried out for a geometry-optimized Ba2LaCl structure.

abc: 8.9352 8.9352 8.9352
angles: 90.00 90.00 90.00
Space group Fm-3m (No. 225)
Symmetry-distinct sites (fractional):
Ba1 0.2500 0.2500 0.2500 x8
La1 0.0000 0.0000 0.0000 x4
Cl1 0.0000 0.0000 0.5000 x4

***

B | A plane-wave DFT calculation with PBE was carried out for a geometry-optimized Ba2LaCl structure.

abc: 3.8490 3.8490 11.1021
angles: 90.00 90.00 90.00
Space group P4mm (No. 99)
Symmetry-distinct sites (fractional):
Ba1 0.0000 0.0000 0.0000 x1
Ba2 0.5000 0.5000 0.3290 x1
La1 0.5000 0.5000 0.7066 x1
Cl1 0.0000 0.0000 0.5346 x1

***

Relative energies, in meV/atom, with the most stable structure set to zero: A 445; B 0.

***

A | A plane-wave DFT calculation with PBE was carried out for a geometry-optimized BaLa2Cl structure.

abc: 12.3714 3.8053 7.3448
angles: 90.00 113.46 90.00
Space group Cm (No. 8)
Symmetry-distinct sites (fractional):
Ba1 0.0000 0.0000 0.0000 x2
La1 0.1739 0.0000 0.6390 x2
La2 0.4069 0.0000 0.4519 x2
Cl1 0.2011 0.5000 0.3221 x2

***

B | A plane-wave DFT calculation with PBE was carried out for a geometry-optimized BaLa2Cl structure.

abc: 3.6573 3.6573 10.6796
angles: 90.00 90.00 90.00
Space group P4/mmm (No. 123)
Symmetry-distinct sites (fractional):
Ba1 0.0000 0.0000 0.0000 x1
La1 0.5000 0.5000 0.3177 x2
Cl1 0.0000 0.0000 0.5000 x1

***

Relative energies, in meV/atom, with the most stable structure set to zero: A 0; B 54.

***

A | A plane-wave DFT calculation with PBE was carried out for a geometry-optimized Ba2LaCl7 structure.

abc: 20.1540 13.4292 11.1964
angles: 90.00 118.91 90.00
Space group C2/c (No. 15)
Symmetry-distinct sites (fractional):
Ba1 0.0644 0.1907 0.0916 x8
Ba2 0.1162 0.4562 0.4766 x8
La1 0.1830 0.1681 0.6887 x8
Cl1 0.0568 0.4197 0.1597 x8
Cl2 0.0676 0.0413 0.6643 x8
Cl3 0.0725 0.3065 0.6681 x8
Cl4 0.0902 0.2096 0.4011 x8
Cl5 0.1872 0.3268 0.0508 x8
Cl6 0.2393 0.1638 0.3269 x8
Cl7 0.2456 0.0235 0.6046 x8

***

B | A plane-wave DFT calculation with PBE was carried out for a geometry-optimized Ba2LaCl7 structure.

abc: 7.0754 15.8972 10.7994
angles: 90.00 91.01 90.00
Space group P2_1 (No. 4)
Symmetry-distinct sites (fractional):
Ba1 0.2301 0.0000 0.1971 x2
Ba2 0.2297 0.0566 0.6972 x2
Ba3 0.2313 0.3398 0.0756 x2
Ba4 0.2305 0.7168 0.5757 x2
La1 0.2804 0.4054 0.5352 x2
La2 0.2799 0.6512 0.0353 x2
Cl1 0.0045 0.5380 0.5573 x2
Cl2 0.0045 0.5184 0.0571 x2
Cl3 0.0073 0.6744 0.8313 x2
Cl4 0.0081 0.3822 0.3312 x2
Cl5 0.1894 0.2344 0.5433 x2
Cl6 0.1887 0.8223 0.0434 x2
Cl7 0.2089 0.6333 0.2902 x2
Cl8 0.2105 0.4236 0.7902 x2
Cl9 0.3584 0.8489 0.3725 x2
Cl10 0.3592 0.2078 0.8723 x2
Cl11 0.4943 0.0017 0.9523 x2
Cl12 0.4944 0.0551 0.4527 x2
Cl13 0.4960 0.8809 0.6802 x2
Cl14 0.4967 0.1756 0.1801 x2

***

Relative energies, in meV/atom, with the most stable structure set to zero: A 59; B 0.

***

A | A plane-wave DFT calculation with PBE was carried out for a geometry-optimized Ba2LaCl7 structure.

abc: 7.3618 14.9357 11.1316
angles: 90.00 93.55 90.00
Space group P2_1/c (No. 14)
Symmetry-distinct sites (fractional):
Ba1 0.2017 0.0828 0.3710 x4
Ba2 0.2668 0.0838 0.8802 x4
La1 0.2224 0.7352 0.9178 x4
Cl1 0.0064 0.0923 0.1120 x4
Cl2 0.0583 0.7333 0.6419 x4
Cl3 0.1336 0.1639 0.6242 x4
Cl4 0.2099 0.5654 0.0635 x4
Cl5 0.3882 0.5954 0.7896 x4
Cl6 0.4619 0.6053 0.3838 x4
Cl7 0.4738 0.2337 0.4085 x4

***

B | A plane-wave DFT calculation with PBE was carried out for a geometry-optimized Ba2LaCl7 structure.

abc: 16.4641 8.1601 10.1939
angles: 90.00 123.17 90.00
Space group C2/c (No. 15)
Symmetry-distinct sites (fractional):
Ba1 0.1910 0.0051 0.2914 x8
La1 0.0000 0.4893 0.7500 x4
Cl1 0.0000 0.1277 0.7500 x4
Cl2 0.0881 0.3468 0.0822 x8
Cl3 0.1308 0.2502 0.4676 x8
Cl4 0.1956 0.3808 0.8580 x8

***

Relative energies, in meV/atom, with the most stable structure set to zero: A 9; B 0.